1.
{
  "formula": "Sn5HgPb4",
  "functional": "GGA-PBE",
  "state": "relaxed",
  "lattice_angstrom": [[3.4719, 0.0000, 0.0000], [0.0000, 3.4719, 0.0000], [0.0000, 0.0000, 24.0034]],
  "species": ["Sn", "Sn", "Sn", "Sn", "Sn", "Hg", "Pb", "Pb", "Pb", "Pb"],
  "frac_coords": [[0.0000, 0.0000, 0.0000], [0.0000, 0.0000, 0.2041], [0.0000, 0.0000, 0.4092], [0.0000, 0.0000, 0.5908], [0.0000, 0.0000, 0.7959], [0.5000, 0.5000, 0.5000], [0.5000, 0.5000, 0.1020], [0.5000, 0.5000, 0.3072], [0.5000, 0.5000, 0.6928], [0.5000, 0.5000, 0.8980]],
  "energy_ev_per_atom": -3.47,
  "ef_ev_per_atom": 0.04,
  "total_magnetization_mub_per_atom": 0.00
}

---

2.
{
  "formula": "Pm6TlRh2",
  "functional": "GGA-PBE",
  "state": "relaxed",
  "lattice_angstrom": [[-4.7999, 5.0019, 5.3231], [4.7999, -5.0019, 5.3231], [4.7999, 5.0019, -5.3231]],
  "species": ["Pm", "Pm", "Pm", "Pm", "Pm", "Pm", "Pm", "Pm", "Pm", "Pm", "Pm", "Pm", "Tl", "Tl", "Rh", "Rh", "Rh", "Rh"],
  "frac_coords": [[0.0324, 0.2348, 0.7976], [0.1804, 0.2918, 0.4722], [0.1804, 0.7082, 0.8887], [0.3291, 0.0210, 0.6919], [0.3291, 0.6373, 0.3081], [0.4371, 0.2348, 0.2024], [0.5629, 0.7652, 0.7976], [0.6709, 0.3627, 0.6919], [0.6709, 0.9790, 0.3081], [0.8196, 0.2918, 0.1113], [0.8196, 0.7082, 0.5278], [0.9676, 0.7652, 0.2024], [0.0000, 0.0000, 0.0000], [0.5000, 0.5000, 0.0000], [0.1329, 0.6329, 0.5000], [0.3367, 0.0000, 0.3367], [0.6633, 0.0000, 0.6633], [0.8671, 0.3671, 0.5000]],
  "energy_ev_per_atom": -5.54,
  "ef_ev_per_atom": -0.47,
  "total_magnetization_mub_per_atom": 0.00
}

---

3.
{
  "formula": "HoInGePt",
  "functional": "GGA-PBE",
  "state": "relaxed",
  "lattice_angstrom": [[6.8983, 0.0000, 0.0000], [0.0000, 6.8983, 0.0000], [0.0000, 0.0000, 6.8983]],
  "species": ["Ho", "Ho", "Ho", "Ho", "In", "In", "In", "In", "Ge", "Ge", "Ge", "Ge", "Pt", "Pt", "Pt", "Pt"],
  "frac_coords": [[0.0000, 0.0000, 0.0000], [0.0000, 0.5000, 0.5000], [0.5000, 0.0000, 0.5000], [0.5000, 0.5000, 0.0000], [0.0000, 0.0000, 0.5000], [0.0000, 0.5000, 0.0000], [0.5000, 0.0000, 0.0000], [0.5000, 0.5000, 0.5000], [0.2500, 0.2500, 0.2500], [0.2500, 0.7500, 0.7500], [0.7500, 0.2500, 0.7500], [0.7500, 0.7500, 0.2500], [0.2500, 0.2500, 0.7500], [0.2500, 0.7500, 0.2500], [0.7500, 0.2500, 0.2500], [0.7500, 0.7500, 0.7500]],
  "energy_ev_per_atom": -5.11,
  "ef_ev_per_atom": -0.62,
  "total_magnetization_mub_per_atom": 0.00
}

---

4.
{
  "formula": "Tm6ScIn3",
  "functional": "GGA-PBE",
  "state": "relaxed",
  "lattice_angstrom": [[6.1786, -6.8920, 0.0000], [6.1786, 6.8920, 0.0000], [0.0000, 0.0000, 6.5902]],
  "species": ["Tm", "Tm", "Tm", "Tm", "Tm", "Tm", "Tm", "Tm", "Tm", "Tm", "Tm", "Tm", "Sc", "Sc", "In", "In", "In", "In", "In", "In"],
  "frac_coords": [[0.0149, 0.4377, 0.1219], [0.0794, 0.9206, 0.5000], [0.2610, 0.3019, 0.8139], [0.3019, 0.2610, 0.3139], [0.3030, 0.6970, 0.8203], [0.4377, 0.0149, 0.6219], [0.5623, 0.9851, 0.1219], [0.6970, 0.3030, 0.3203], [0.6981, 0.7390, 0.8139], [0.7390, 0.6981, 0.3139], [0.9206, 0.0794, 0.0000], [0.9851, 0.5623, 0.6219], [0.3067, 0.6933, 0.3174], [0.6933, 0.3067, 0.8174], [0.0094, 0.7594, 0.0407], [0.2406, 0.9906, 0.0407], [0.4995, 0.5005, 0.0705], [0.5005, 0.4995, 0.5705], [0.7594, 0.0094, 0.5407], [0.9906, 0.2406, 0.5407]],
  "energy_ev_per_atom": -4.30,
  "ef_ev_per_atom": -0.16,
  "total_magnetization_mub_per_atom": 0.00
}

---

5.
{
  "formula": "CaP2Pb",
  "functional": "GGA-PBE",
  "state": "relaxed",
  "lattice_angstrom": [[6.3177, 0.0000, 0.0000], [0.0000, 7.3808, 0.0000], [-0.0308, 0.0000, 3.8247]],
  "species": ["Ca", "Ca", "P", "P", "P", "P", "Pb", "Pb"],
  "frac_coords": [[0.0000, 0.0000, 0.0000], [0.5000, 0.5000, 0.0000], [0.2500, 0.2500, 0.5000], [0.2500, 0.7500, 0.5000], [0.7500, 0.2500, 0.5000], [0.7500, 0.7500, 0.5000], [0.0000, 0.5000, 0.0000], [0.5000, 0.0000, 0.0000]],
  "energy_ev_per_atom": -4.36,
  "ef_ev_per_atom": -0.22,
  "total_magnetization_mub_per_atom": 0.00
}

---

6.
{
  "formula": "HfScS2",
  "functional": "GGA-PBE",
  "state": "relaxed",
  "lattice_angstrom": [[5.7201, 0.0000, 0.0000], [0.0000, 5.7201, 0.0000], [0.0000, 0.0000, 11.3910]],
  "species": ["Hf", "Hf", "Hf", "Hf", "Sc", "Sc", "Sc", "Sc", "S", "S", "S", "S", "S", "S", "S", "S"],
  "frac_coords": [[0.0000, 0.0000, 0.0000], [0.0000, 0.5000, 0.2500], [0.5000, 0.0000, 0.7500], [0.5000, 0.5000, 0.5000], [0.0000, 0.0000, 0.5000], [0.0000, 0.5000, 0.7500], [0.5000, 0.0000, 0.2500], [0.5000, 0.5000, 0.0000], [0.2459, 0.2500, 0.1250], [0.2500, 0.7459, 0.3750], [0.2500, 0.7541, 0.8750], [0.2541, 0.2500, 0.6250], [0.7459, 0.7500, 0.6250], [0.7500, 0.2459, 0.8750], [0.7500, 0.2541, 0.3750], [0.7541, 0.7500, 0.1250]],
  "formation_energy_uncorrected_ev_per_atom": -1.147,
  "energy_ev_per_atom": -7.28,
  "total_magnetization_mub_per_atom": 0.00
}

---

7.
{
  "formula": "LiCdTeMoBr",
  "functional": "GGA-PBE",
  "state": "relaxed",
  "lattice_angstrom": [[9.3054, 0.0000, 0.0000], [0.0000, 3.3880, 0.0000], [-3.7769, 0.0000, 8.6371]],
  "species": ["Li", "Li", "Cd", "Cd", "Te", "Te", "Mo", "Mo", "Br", "Br"],
  "frac_coords": [[0.0000, 0.0000, 0.0000], [0.5000, 0.5000, 0.0000], [0.2740, 0.5000, 0.4569], [0.7740, 0.0000, 0.4569], [0.1767, 0.0000, 0.7394], [0.6767, 0.5000, 0.7394], [0.4492, 0.0000, 0.7086], [0.9492, 0.5000, 0.7086], [0.0064, 0.5000, 0.1953], [0.5064, 0.0000, 0.1953]],
  "formation_energy_uncorrected_ev_per_atom": -0.162,
  "energy_ev_per_atom": -3.86,
  "total_magnetization_mub_per_atom": 0.00
}

---

8.
{
  "formula": "KCo2Hg2",
  "functional": "GGA-PBE",
  "state": "relaxed",
  "lattice_angstrom": [[8.2392, 0.0000, 0.0000], [0.0000, 8.2392, 0.0000], [0.0000, 0.0000, 2.8895]],
  "species": ["K", "K", "Co", "Co", "Co", "Co", "Hg", "Hg", "Hg", "Hg"],
  "frac_coords": [[0.0000, 0.0000, 0.0000], [0.5000, 0.5000, 0.0000], [0.0969, 0.4031, 0.0000], [0.4031, 0.9031, 0.0000], [0.5969, 0.0969, 0.0000], [0.9031, 0.5969, 0.0000], [0.1881, 0.6881, 0.5000], [0.3119, 0.1881, 0.5000], [0.6881, 0.8119, 0.5000], [0.8119, 0.3119, 0.5000]],
  "energy_ev_per_atom": -2.77,
  "ef_ev_per_atom": 0.41,
  "total_magnetization_mub_per_atom": 0.56
}